Material: KMgTiBe2
Method: DFT, GGA-PBE
State: optimized geometry

Summary:
Space group: P4/mmm, No. 123
Energy of formation: 1.425 eV/atom
Crystal system: tetragonal

Lattice parameters (Å, degrees): 4.7887 5.2485 4.7887 90.00 90.00 90.00
Fractional positions:
K 0.0000 0.5000 0.0000
Mg 0.5000 0.5000 0.5000
Ti 0.0000 0.0000 0.0000
Be 0.0000 0.0000 0.5000
Be 0.5000 0.0000 0.0000

Material: KMn3Be
Method: DFT, GGA-PBE
State: optimized geometry

Summary:
Space group: Pm-3m, No. 221
Energy of formation: 0.970 eV/atom
Crystal system: cubic
Offset from the most stable computed form: 0.0 meV per atom

Lattice parameters (Å, degrees): 4.5926 4.5926 4.5926 90.00 90.00 90.00
Fractional positions:
K 0.5000 0.5000 0.5000
Mn 0.0000 0.0000 0.5000
Mn 0.5000 0.0000 0.0000
Mn 0.0000 0.5000 0.0000
Be 0.0000 0.0000 0.0000

Material: KMn2Be
Method: DFT, GGA-PBE
State: optimized geometry

Summary:
Space group: P4/mmm, No. 123
Energy of formation: 0.677 eV/atom
Crystal system: tetragonal

Lattice parameters (Å, degrees): 2.9110 2.9110 8.4582 90.00 90.00 90.00
Fractional positions:
Mn 0.0000 0.0000 0.0980
Mn 0.0000 0.0000 0.4020
K 0.5000 0.5000 0.7500
Be 0.5000 0.5000 0.2500

Material: KMnBe4
Method: DFT, GGA-PBE
State: optimized geometry

Summary:
Space group: F-43m, No. 216
Energy of formation: 0.729 eV/atom
Crystal system: cubic

Lattice parameters (Å, degrees): 4.8226 4.8226 4.8226 60.00 60.00 60.00
Fractional positions:
K 0.7500 0.7500 0.7500
Be 0.3676 0.3676 0.3676
Be 0.3676 0.8971 0.3676
Be 0.8971 0.3676 0.3676
Be 0.3676 0.3676 0.8971
Mn 0.0000 0.0000 0.0000

Material: KMn2Be
Method: DFT, GGA-PBE
State: optimized geometry

Summary:
Space group: Immm, No. 71
Energy of formation: 0.909 eV/atom
Crystal system: orthorhombic

Lattice parameters (Å, degrees): 5.8873 5.8873 5.8873 152.57 125.15 62.40
Fractional positions:
Mn 0.4412 0.4412 0.0000
Mn 0.0588 0.0588 0.0000
Be 0.2500 0.7500 0.5000
K 0.7500 0.2500 0.5000

Material: KMn2Be
Method: DFT, GGA-PBE
State: optimized geometry

Summary:
Space group: I4_1/amd, No. 141
Energy of formation: 1.065 eV/atom
Crystal system: tetragonal

Lattice parameters (Å, degrees): 5.3217 5.3217 8.3665 71.46 71.46 90.00
Fractional positions:
K 0.7500 0.2500 0.5000
K 0.0000 0.0000 0.0000
Mn 0.8750 0.6250 0.7500
Mn 0.3750 0.1250 0.2500
Mn 0.3750 0.6250 0.7500
Mn 0.3750 0.6250 0.2500
Be 0.2500 0.7500 0.5000
Be 0.5000 0.5000 0.0000

Material: KMnBe3
Method: DFT, GGA-PBE
State: optimized geometry

Summary:
Space group: Pm-3m, No. 221
Energy of formation: 0.999 eV/atom
Crystal system: cubic
Offset from the most stable computed form: 0.0 meV per atom

Lattice parameters (Å, degrees): 4.4896 4.4896 4.4896 90.00 90.00 90.00
Fractional positions:
Mn 0.0000 0.0000 0.0000
Be 0.0000 0.5000 0.0000
Be 0.0000 0.0000 0.5000
Be 0.5000 0.0000 0.0000
K 0.5000 0.5000 0.5000

Material: KMn2Be
Method: DFT, GGA-PBE
State: optimized geometry

Summary:
Space group: P4/mmm, No. 123
Energy of formation: 1.321 eV/atom
Crystal system: tetragonal

Lattice parameters (Å, degrees): 4.1819 4.1764 4.1764 90.00 90.00 90.00
Fractional positions:
Mn 0.0000 0.5000 0.5000
Mn 0.0000 0.0000 0.0000
K 0.5000 0.0000 0.5000
Be 0.5000 0.5000 0.0000

Material: KMnBe3
Method: DFT, GGA-PBE
State: optimized geometry

Summary:
Space group: Pm-3m, No. 221
Energy of formation: 2.942 eV/atom
Crystal system: cubic
Offset from the most stable computed form: 1943.3 meV per atom

Lattice parameters (Å, degrees): 4.3122 4.3122 4.3122 90.00 90.00 90.00
Fractional positions:
Be 0.0000 0.0000 0.5000
Be 0.5000 0.0000 0.0000
Be 0.0000 0.5000 0.0000
Mn 0.5000 0.5000 0.5000
K 0.0000 0.0000 0.0000

Material: KMn2Be
Method: DFT, GGA-PBE
State: optimized geometry

Summary:
Space group: P4mm, No. 99
Energy of formation: 0.581 eV/atom
Crystal system: tetragonal

Lattice parameters (Å, degrees): 2.9576 2.9576 7.9992 90.00 90.00 90.00
Fractional positions:
Mn 0.5000 0.5000 0.2681
Mn 0.0000 0.0000 0.1015
Be 0.0000 0.0000 0.4004
K 0.5000 0.5000 0.7300

Material: KMn2Be
Method: DFT, GGA-PBE
State: optimized geometry

Summary:
Space group: Cmmm, No. 65
Energy of formation: 1.295 eV/atom
Crystal system: orthorhombic

Lattice parameters (Å, degrees): 5.3335 5.3335 2.7585 90.00 90.00 114.59
Fractional positions:
Mn 0.5000 0.5000 0.0000
Mn 0.0000 0.0000 0.0000
K 0.0000 0.5000 0.5000
Be 0.5000 0.0000 0.5000

Material: KMn2Be
Method: DFT, GGA-PBE
State: optimized geometry

Summary:
Space group: Cm, No. 8
Energy of formation: 0.667 eV/atom
Crystal system: monoclinic

Lattice parameters (Å, degrees): 4.1618 4.1618 7.0278 84.39 84.39 39.22
Fractional positions:
Mn 0.0228 0.0228 0.8695
Mn 0.7580 0.7580 0.7540
K 0.2445 0.2445 0.2565
Be 0.4748 0.4748 0.6200

Material: KMn2Be
Method: DFT, GGA-PBE
State: optimized geometry

Summary:
Space group: R-3m, No. 166
Energy of formation: 0.841 eV/atom
Crystal system: trigonal

Lattice parameters (Å, degrees): 9.4111 9.4111 9.4111 18.17 18.17 18.17
Fractional positions:
Mn 0.9735 0.9735 0.9735
Mn 0.5265 0.5265 0.5265
K 0.7500 0.7500 0.7500
Be 0.2500 0.2500 0.2500

Material: KMn2Be
Method: DFT, GGA-PBE
State: optimized geometry

Summary:
Space group: Imm2, No. 44
Energy of formation: 1.063 eV/atom
Crystal system: orthorhombic

Lattice parameters (Å, degrees): 5.8994 5.8994 5.8994 152.42 127.21 60.58
Fractional positions:
Mn 0.2740 0.7740 0.5000
Mn 0.0382 0.0382 0.0000
K 0.7325 0.2325 0.5000
Be 0.4553 0.4553 0.0000

Material: K3MnBe
Method: DFT, GGA-PBE
State: optimized geometry

Summary:
Space group: Pm-3m, No. 221
Energy of formation: 1.081 eV/atom
Crystal system: cubic
Offset from the most stable computed form: 0.0 meV per atom

Lattice parameters (Å, degrees): 6.2924 6.2924 6.2924 90.00 90.00 90.00
Fractional positions:
Be 0.0000 0.0000 0.0000
K 0.5000 0.0000 0.0000
K 0.0000 0.5000 0.0000
K 0.0000 0.0000 0.5000
Mn 0.5000 0.5000 0.5000

Material: KMn2Be
Method: DFT, GGA-PBE
State: optimized geometry

Summary:
Space group: Pmmm, No. 47
Energy of formation: 1.225 eV/atom
Crystal system: orthorhombic

Lattice parameters (Å, degrees): 2.8770 5.0839 4.8963 90.00 90.00 90.00
Fractional positions:
Be 0.5000 0.0000 0.5000
Mn 0.0000 0.0000 0.0000
Mn 0.5000 0.5000 0.0000
K 0.0000 0.5000 0.5000

Material: KMn2Be
Method: DFT, GGA-PBE
State: optimized geometry

Summary:
Space group: C2/m, No. 12
Energy of formation: 0.741 eV/atom
Crystal system: monoclinic

Lattice parameters (Å, degrees): 3.9910 3.9910 7.5064 84.45 84.45 42.48
Fractional positions:
Be 0.7500 0.7500 0.7500
Mn 0.4709 0.4709 0.6150
Mn 0.0291 0.0291 0.8850
K 0.2500 0.2500 0.2500

Material: KMn2Be2
Method: DFT, GGA-PBE
State: optimized geometry

Summary:
Space group: P4/mmm, No. 123
Energy of formation: 2.956 eV/atom
Crystal system: tetragonal

Lattice parameters (Å, degrees): 4.2445 4.2445 4.0934 90.00 90.00 90.00
Fractional positions:
Be 0.0000 0.5000 0.0000
Be 0.5000 0.0000 0.0000
Mn 0.0000 0.0000 0.5000
Mn 0.5000 0.5000 0.5000
K 0.0000 0.0000 0.0000

Material: KMn4Be
Method: DFT, GGA-PBE
State: optimized geometry

Summary:
Space group: F-43m, No. 216
Energy of formation: 1.053 eV/atom
Crystal system: cubic

Lattice parameters (Å, degrees): 5.3693 5.3693 5.3693 60.00 60.00 60.00
Fractional positions:
K 0.0000 0.0000 0.0000
Mn 0.3775 0.3775 0.8674
Mn 0.3775 0.8674 0.3775
Mn 0.3775 0.3775 0.3775
Mn 0.8674 0.3775 0.3775
Be 0.7500 0.7500 0.7500

Material: K4MnBe
Method: DFT, GGA-PBE
State: optimized geometry

Summary:
Space group: F-43m, No. 216
Energy of formation: 1.087 eV/atom
Crystal system: cubic

Lattice parameters (Å, degrees): 7.3873 7.3873 7.3873 60.00 60.00 60.00
Fractional positions:
K 0.8757 0.3748 0.3748
K 0.3748 0.8757 0.3748
K 0.3748 0.3748 0.8757
K 0.3748 0.3748 0.3748
Mn 0.7500 0.7500 0.7500
Be 0.0000 0.0000 0.0000